Entry 1:
Density functional theory data (PBE) for a relaxed HfGa2SiB crystal.

a b c (Å): 5.1754 4.4108 5.1754
angles (deg): 90.00 90.00 90.00
Closest atoms and distances in Å follow each position.
Positions (direct):
Hf: 0.0000 0.0000 0.0000  2 B 2.21
B: 0.0000 0.5000 0.0000  2 Hf 2.21
Ga: 0.0000 0.0000 0.5000  2 Hf 2.59
Ga: 0.5000 0.0000 0.0000  2 Hf 2.59
Si: 0.5000 0.5000 0.5000  8 Ga 3.40, 4 B 3.66

Calculated values
**Total moment**: 0.0 μB/cell
**Energy relative to the elements, uncorrected**: 6.16 eV/f.u.



Entry 2:
Density functional theory data (PBE) for a relaxed GaHgB2 crystal.

a b c (Å): 5.1301 5.1301 6.2483
angles (deg): 65.76 65.76 90.00
Closest atoms and distances in Å follow each position.
Positions (direct):
Ga: 0.2500 0.7500 0.5000  4 B 2.12
Ga: 0.5000 0.5000 0.0000  4 B 2.12
B: 0.8750 0.8408 0.7500  2 Ga 2.12, 2 Hg 2.32
B: 0.1592 0.6250 0.2500  2 Ga 2.12, 2 Hg 2.32
Hg: 0.0000 0.0000 0.0000  4 B 2.32
B: 0.3750 0.4092 0.7500  2 Ga 2.12, 2 Hg 2.32
Hg: 0.7500 0.2500 0.5000  4 B 2.32
B: 0.5908 0.1250 0.2500  2 Ga 2.12, 2 Hg 2.32

Calculated values
**Offset from the most stable computed form**: 0.0 meV/atom
**Total moment**: 0.0 μB/cell
**DFT formation energy**: 1.178 eV per atom



Entry 3:
Density functional theory data (PBE) for a relaxed Ga2HgB crystal.

a b c (Å): 4.6526 4.6526 4.6526
angles (deg): 60.00 60.00 60.00
Closest atoms and distances in Å follow each position.
Positions (direct):
Hg: 0.5000 0.5000 0.5000  8 Ga 2.85
Ga: 0.7500 0.7500 0.7500  4 Hg 2.85, 4 B 2.85
Ga: 0.2500 0.2500 0.2500  4 Hg 2.85, 4 B 2.85
B: 0.0000 0.0000 0.0000  8 Ga 2.85

Calculated values
**Offset from the most stable computed form**: 551.1 meV/atom
**Total moment**: 0.0 μB/cell
**DFT formation energy**: 0.894 eV per atom



Entry 4:
Density functional theory data (PBE) for a relaxed GaHgB2 crystal.

a b c (Å): 4.3248 4.3248 4.3248
angles (deg): 60.00 60.00 60.00
Closest atoms and distances in Å follow each position.
Positions (direct):
B: 0.2500 0.2500 0.2500  4 Hg 2.65, 4 Ga 2.65
Hg: 0.5000 0.5000 0.5000  8 B 2.65
B: 0.7500 0.7500 0.7500  4 Hg 2.65, 4 Ga 2.65
Ga: 0.0000 0.0000 0.0000  8 B 2.65

Calculated values
**Offset from the most stable computed form**: 378.9 meV/atom
**Total moment**: 0.0 μB/cell
**DFT formation energy**: 1.557 eV per atom



Entry 5:
Density functional theory data (PBE) for a relaxed GaHg3B crystal.

a b c (Å): 5.2658 5.2658 5.2658
angles (deg): 90.00 90.00 90.00
Closest atoms and distances in Å follow each position.
Positions (direct):
Hg: 0.5000 0.0000 0.0000  2 Ga 2.63
Hg: 0.0000 0.0000 0.5000  2 Ga 2.63
Ga: 0.0000 0.0000 0.0000  6 Hg 2.63
B: 0.5000 0.5000 0.5000  12 Hg 3.72
Hg: 0.0000 0.5000 0.0000  2 Ga 2.63

Calculated values
**Offset from the most stable computed form**: 580.4 meV/atom
**Total moment**: 0.5 μB/cell
**DFT formation energy**: 1.133 eV per atom



Entry 6:
Density functional theory data (PBE) for a relaxed GaHg3B crystal.

a b c (Å): 4.7693 4.7693 4.7693
angles (deg): 90.00 90.00 90.00
Closest atoms and distances in Å follow each position.
Positions (direct):
Hg: 0.0000 0.0000 0.5000  2 B 2.38
Hg: 0.0000 0.5000 0.0000  2 B 2.38
Hg: 0.5000 0.0000 0.0000  2 B 2.38
B: 0.0000 0.0000 0.0000  6 Hg 2.38
Ga: 0.5000 0.5000 0.5000  12 Hg 3.37

Calculated values
**Offset from the most stable computed form**: 0.0 meV/atom
**Total moment**: 0.0 μB/cell
**DFT formation energy**: 0.552 eV per atom



Q: Which of these has the highest total moment?
A: number 5